*A*
Entry from the Alexandria database: a geometry-optimized MgScSb2Te structure (PBE-GGA). Values from VASP.

Geometry as Quantum ESPRESSO input:
```
&SYSTEM
  ibrav = 0, nat = 5, ntyp = 4
/
ATOMIC_SPECIES
Mg 24.30 Mg.upf
Sc 44.96 Sc.upf
Sb 121.76 Sb.upf
Te 127.60 Te.upf
CELL_PARAMETERS angstrom
5.486 0.000 0.000
0.000 5.486 0.000
0.000 0.000 5.515
ATOMIC_POSITIONS crystal
Mg 0.000 0.000 0.000
Sc 0.500 0.500 0.500
Sb 0.000 0.500 0.500
Sb 0.500 0.000 0.500
Te 0.500 0.500 0.000
```

Results
**Space-group type**: P4/mmm, No. 123
**Magnetization**: 0.0 μB per formula unit

*B*
Entry from the Alexandria database: a geometry-optimized MgScSb2Te structure (PBE-GGA). Values from VASP.

Geometry as Quantum ESPRESSO input:
```
&SYSTEM
  ibrav = 0, nat = 5, ntyp = 4
/
ATOMIC_SPECIES
Mg 24.30 Mg.upf
Sc 44.96 Sc.upf
Sb 121.76 Sb.upf
Te 127.60 Te.upf
CELL_PARAMETERS angstrom
5.282 0.000 0.000
0.000 5.282 0.000
0.000 0.000 5.481
ATOMIC_POSITIONS crystal
Mg 0.000 0.000 0.000
Sc 0.500 0.500 0.500
Sb 0.000 0.500 0.000
Sb 0.500 0.000 0.000
Te 0.000 0.000 0.500
```

Results
**Space-group type**: P4/mmm, No. 123
**Magnetization**: 0.0 μB per formula unit

Which structure is most stable? *A*, by 261 meV per atom over the runner-up.

*A*
Entry from the Alexandria database: a geometry-optimized MgScSbTe2 structure (PBE-GGA). Values from VASP.

Geometry as Quantum ESPRESSO input:
```
&SYSTEM
  ibrav = 0, nat = 5, ntyp = 4
/
ATOMIC_SPECIES
Mg 24.30 Mg.upf
Sc 44.96 Sc.upf
Sb 121.76 Sb.upf
Te 127.60 Te.upf
CELL_PARAMETERS angstrom
5.441 0.000 0.000
0.000 5.441 0.000
0.000 0.000 5.256
ATOMIC_POSITIONS crystal
Mg 0.000 0.000 0.000
Sc 0.500 0.500 0.500
Sb 0.000 0.000 0.500
Te 0.000 0.500 0.000
Te 0.500 0.000 0.000
```

Results
**Space-group type**: P4/mmm, No. 123
**Magnetization**: 0.0 μB per formula unit

*B*
Entry from the Alexandria database: a geometry-optimized MgScSbTe2 structure (PBE-GGA). Values from VASP.

Geometry as Quantum ESPRESSO input:
```
&SYSTEM
  ibrav = 0, nat = 5, ntyp = 4
/
ATOMIC_SPECIES
Mg 24.30 Mg.upf
Sc 44.96 Sc.upf
Sb 121.76 Sb.upf
Te 127.60 Te.upf
CELL_PARAMETERS angstrom
5.522 0.000 0.000
0.000 5.522 0.000
0.000 0.000 5.530
ATOMIC_POSITIONS crystal
Mg 0.000 0.000 0.000
Sc 0.500 0.500 0.500
Sb 0.500 0.500 0.000
Te 0.000 0.500 0.500
Te 0.500 0.000 0.500
```

Results
**Space-group type**: P4/mmm, No. 123
**Magnetization**: 0.0 μB per formula unit

*C*
Entry from the Alexandria database: a geometry-optimized MgScSbTe2 structure (PBE-GGA). Values from VASP.

Geometry as Quantum ESPRESSO input:
```
&SYSTEM
  ibrav = 0, nat = 5, ntyp = 4
/
ATOMIC_SPECIES
Mg 24.30 Mg.upf
Sc 44.96 Sc.upf
Sb 121.76 Sb.upf
Te 127.60 Te.upf
CELL_PARAMETERS angstrom
5.278 0.000 0.000
0.000 5.278 0.000
0.000 0.000 5.589
ATOMIC_POSITIONS crystal
Mg 0.000 0.000 0.000
Sc 0.000 0.000 0.500
Sb 0.500 0.500 0.500
Te 0.000 0.500 0.000
Te 0.500 0.000 0.000
```

Results
**Space-group type**: P4/mmm, No. 123
**Magnetization**: 0.0 μB per formula unit

Which structure is most stable? *B*, by 273 meV per atom over the runner-up.

*A*
Entry from the Alexandria database: a geometry-optimized MgSbSe2 structure (PBE-GGA). Values from VASP.

Geometry as Quantum ESPRESSO input:
```
&SYSTEM
  ibrav = 0, nat = 4, ntyp = 3
/
ATOMIC_SPECIES
Mg 24.30 Mg.upf
Sb 121.76 Sb.upf
Se 78.96 Se.upf
CELL_PARAMETERS angstrom
0.000 3.566 3.566
3.566 0.000 3.566
3.566 3.566 0.000
ATOMIC_POSITIONS crystal
Mg 0.000 0.000 0.000
Sb 0.250 0.250 0.250
Se 0.500 0.500 0.500
Se 0.750 0.750 0.750
```

Results
**Space-group type**: F-43m, No. 216
**Magnetization**: 0.0 μB per formula unit

*B*
Entry from the Alexandria database: a geometry-optimized MgSbSe2 structure (PBE-GGA). Values from VASP.

Geometry as Quantum ESPRESSO input:
```
&SYSTEM
  ibrav = 0, nat = 8, ntyp = 3
/
ATOMIC_SPECIES
Mg 24.30 Mg.upf
Sb 121.76 Sb.upf
Se 78.96 Se.upf
CELL_PARAMETERS angstrom
-2.918 2.918 7.287
2.918 -2.918 7.287
2.918 2.918 -7.287
ATOMIC_POSITIONS crystal
Mg 0.000 0.000 0.000
Mg 0.750 0.250 0.500
Sb 0.250 0.750 0.500
Sb 0.500 0.500 0.000
Se 0.099 0.625 0.974
Se 0.375 0.349 0.474
Se 0.651 0.125 0.026
Se 0.875 0.901 0.526
```

Results
**Space-group type**: I-42d, No. 122
**Magnetization**: 0.0 μB per formula unit

*C*
Entry from the Alexandria database: a geometry-optimized MgSbSe2 structure (PBE-GGA). Values from VASP.

Geometry as Quantum ESPRESSO input:
```
&SYSTEM
  ibrav = 0, nat = 4, ntyp = 3
/
ATOMIC_SPECIES
Mg 24.30 Mg.upf
Sb 121.76 Sb.upf
Se 78.96 Se.upf
CELL_PARAMETERS angstrom
-1.969 3.565 3.820
1.969 -3.565 3.820
1.969 3.565 -3.820
ATOMIC_POSITIONS crystal
Mg 0.000 0.000 0.000
Sb 0.500 0.500 0.000
Se 0.234 0.734 0.500
Se 0.766 0.266 0.500
```

Results
**Space-group type**: Immm, No. 71
**Magnetization**: 0.0 μB per formula unit

Which structure is most stable? *B*, by 51 meV per atom over the runner-up.

*A*
Entry from the Alexandria database: a geometry-optimized MgSbSe2 structure (PBE-GGA). Values from VASP.

Geometry as Quantum ESPRESSO input:
```
&SYSTEM
  ibrav = 0, nat = 4, ntyp = 3
/
ATOMIC_SPECIES
Mg 24.30 Mg.upf
Sb 121.76 Sb.upf
Se 78.96 Se.upf
CELL_PARAMETERS angstrom
3.703 0.000 0.000
0.000 3.704 0.000
-1.723 0.000 7.330
ATOMIC_POSITIONS crystal
Mg 0.000 0.000 0.000
Sb 0.500 0.000 0.500
Se 0.455 0.500 0.207
Se 0.545 0.500 0.793
```

Results
**Space-group type**: P2/m, No. 10
**Magnetization**: 0.0 μB per formula unit

*B*
Entry from the Alexandria database: a geometry-optimized MgSbSe2 structure (PBE-GGA). Values from VASP.

Geometry as Quantum ESPRESSO input:
```
&SYSTEM
  ibrav = 0, nat = 4, ntyp = 3
/
ATOMIC_SPECIES
Mg 24.30 Mg.upf
Sb 121.76 Sb.upf
Se 78.96 Se.upf
CELL_PARAMETERS angstrom
-2.862 2.862 2.974
2.862 -2.862 2.974
2.862 2.862 -2.974
ATOMIC_POSITIONS crystal
Mg 0.000 0.000 0.000
Sb 0.500 0.500 0.000
Se 0.000 0.500 0.500
Se 0.500 0.000 0.500
```

Results
**Space-group type**: I4/mmm, No. 139
**Magnetization**: 0.0 μB per formula unit

Which structure is most stable? *A*, by 40 meV per atom over the runner-up.

*A*
Entry from the Alexandria database: a geometry-optimized MgSbSe2 structure (PBE-GGA). Values from VASP.

Geometry as Quantum ESPRESSO input:
```
&SYSTEM
  ibrav = 0, nat = 4, ntyp = 3
/
ATOMIC_SPECIES
Mg 24.30 Mg.upf
Sb 121.76 Sb.upf
Se 78.96 Se.upf
CELL_PARAMETERS angstrom
4.147 0.000 0.000
0.000 4.147 0.000
0.000 0.000 5.718
ATOMIC_POSITIONS crystal
Mg 0.000 0.000 0.000
Sb 0.500 0.500 0.499
Se 0.000 0.000 0.499
Se 0.500 0.500 0.999
```

Results
**Space-group type**: P4mm, No. 99
**Magnetization**: 0.0 μB per formula unit

*B*
Entry from the Alexandria database: a geometry-optimized MgSbSe2 structure (PBE-GGA). Values from VASP.

Geometry as Quantum ESPRESSO input:
```
&SYSTEM
  ibrav = 0, nat = 4, ntyp = 3
/
ATOMIC_SPECIES
Mg 24.30 Mg.upf
Sb 121.76 Sb.upf
Se 78.96 Se.upf
CELL_PARAMETERS angstrom
1.968 1.136 7.184
-1.968 1.136 7.184
0.000 -2.273 7.184
ATOMIC_POSITIONS crystal
Mg 0.000 0.000 0.000
Sb 0.500 0.500 0.500
Se 0.260 0.260 0.260
Se 0.740 0.740 0.740
```

Results
**Space-group type**: R-3m, No. 166
**Magnetization**: 0.0 μB per formula unit

*C*
Entry from the Alexandria database: a geometry-optimized MgSbSe2 structure (PBE-GGA). Values from VASP.

Geometry as Quantum ESPRESSO input:
```
&SYSTEM
  ibrav = 0, nat = 4, ntyp = 3
/
ATOMIC_SPECIES
Mg 24.30 Mg.upf
Sb 121.76 Sb.upf
Se 78.96 Se.upf
CELL_PARAMETERS angstrom
3.521 0.000 0.000
0.000 3.521 0.000
0.000 0.000 7.074
ATOMIC_POSITIONS crystal
Mg 0.000 0.000 0.000
Sb 0.000 0.000 0.500
Se 0.500 0.500 0.231
Se 0.500 0.500 0.769
```

Results
**Space-group type**: P4/mmm, No. 123
**Magnetization**: 0.0 μB per formula unit

*D*
Entry from the Alexandria database: a geometry-optimized MgSbSe2 structure (PBE-GGA). Values from VASP.

Geometry as Quantum ESPRESSO input:
```
&SYSTEM
  ibrav = 0, nat = 4, ntyp = 3
/
ATOMIC_SPECIES
Mg 24.30 Mg.upf
Sb 121.76 Sb.upf
Se 78.96 Se.upf
CELL_PARAMETERS angstrom
-1.938 1.938 7.914
1.938 -1.938 7.914
1.938 1.938 -7.914
ATOMIC_POSITIONS crystal
Mg 0.000 0.000 0.000
Sb 0.250 0.750 0.500
Se 0.500 0.500 0.000
Se 0.750 0.250 0.500
```

Results
**Space-group type**: I-4m2, No. 119
**Magnetization**: 0.0 μB per formula unit

Which structure is most stable? *A*, by 67 meV per atom over the runner-up.